# Rb3Na2WO6

A geometry-optimized Rb3Na2WO6 structure (PBE+U, Alexandria via LeMat-Bulk).

Results
Its magnetic moment is 1.072 μB/cell. The value obtained for the electronic total energy is -5.170 eV per atom.

Lattice parameters (Å, degrees): 6.122 6.122 6.562 98.62 98.62 120.07
Site moments in Bohr magnetons follow the coordinates.
Atoms (fractional coordinates):
1 Rb 0.176 0.824 0.500  0.00
2 Rb 0.824 0.176 0.500  0.00
3 Rb 0.500 0.500 0.500  0.00
4 Na 0.334 0.666 0.000  0.00
5 Na 0.666 0.334 0.000  0.00
6 W 0.000 0.000 0.000  -0.09
7 O 0.939 0.674 0.824  0.16
8 O 0.798 0.798 0.185  0.16
9 O 0.061 0.326 0.176  0.16
10 O 0.674 0.939 0.824  0.16
11 O 0.202 0.202 0.815  0.16
12 O 0.326 0.061 0.176  0.16